1.
The following is a DFT calculation (PBE-GGA) of a relaxed BeInW2 crystal.

a = 3.7639 Å, b = 3.7639 Å, c = 19.4027 Å
α = 90.00°, β = 90.00°, γ = 90.00°
With the nearest neighbours (Å) after each atom.
Element x y z (fractional)
Be (0.0000, 0.0000, 0.0000)  4 In 2.66, 4 W 2.75
Be (0.0000, 0.5000, 0.2500)  4 In 2.66, 4 W 2.75
Be (0.5000, 0.0000, 0.7500)  4 In 2.66, 4 W 2.75
Be (0.5000, 0.5000, 0.5000)  4 In 2.66, 4 W 2.75
In (0.0000, 0.0000, 0.5000)  4 Be 2.66, 4 W 2.79
In (0.0000, 0.5000, 0.7500)  4 Be 2.66, 4 W 2.79
In (0.5000, 0.0000, 0.2500)  4 Be 2.66, 4 W 2.79
In (0.5000, 0.5000, 0.0000)  4 Be 2.66, 4 W 2.79
W (0.2339, 0.2500, 0.1250)  4 W 2.58-2.75, 2 Be 2.75, 2 In 2.79
W (0.2500, 0.7339, 0.3750)  4 W 2.58-2.75, 2 Be 2.75, 2 In 2.79
W (0.2500, 0.7661, 0.8750)  4 W 2.58-2.75, 2 Be 2.75, 2 In 2.79
W (0.2661, 0.2500, 0.6250)  4 W 2.58-2.75, 2 Be 2.75, 2 In 2.79
W (0.7339, 0.7500, 0.6250)  4 W 2.58-2.75, 2 Be 2.75, 2 In 2.79
W (0.7500, 0.2339, 0.8750)  4 W 2.58-2.75, 2 Be 2.75, 2 In 2.79
W (0.7500, 0.2661, 0.3750)  4 W 2.58-2.75, 2 Be 2.75, 2 In 2.79
W (0.7661, 0.7500, 0.1250)  4 W 2.58-2.75, 2 Be 2.75, 2 In 2.79

Computed properties:
- SG: I-42d
- Volume: 274.9 Å³/cell
- Crystal system: tetragonal
- Polymorph energy (0 for the lowest one): 0.518 eV/atom
- M_tot: 0.00 Bohr magnetons per cell
- DFT formation energy: 334.4 kJ/mol of formula units


2.
The following is a DFT calculation (PBE-GGA) of a relaxed BeSiF crystal.

a = 2.7334 Å, b = 6.6138 Å, c = 4.3771 Å
α = 90.00°, β = 90.00°, γ = 90.00°
With the nearest neighbours (Å) after each atom.
Element x y z (fractional)
Be (0.0000, 0.1401, 0.0000)  2 F 1.55-1.56
Be (0.0000, 0.8599, 0.5000)  2 F 1.55-1.56
Si (0.5000, 0.4151, 0.0857)  2 Be 2.31, 2 Si 2.46
Si (0.5000, 0.5849, 0.5857)  2 Be 2.31, 2 Si 2.46
F (0.0000, 0.0689, 0.6635)  2 Be 1.55-1.56
F (0.0000, 0.9311, 0.1635)  2 Be 1.55-1.56

Computed properties:
- SG: Pmc2_1
- Volume: 79.1 Å³/cell
- Energy relative to the elements, uncorrected: -1.3145 eV/atom
- Crystal system: orthorhombic
- Polymorph energy (0 for the lowest one): 0.000 eV/atom
- M_tot: 0.00 Bohr magnetons per cell


Which of these has the highest volume? BeInW2